Entry 1:
A plane-wave DFT calculation with PBE was carried out for a geometry-optimized Ho4SiCS2 structure.

Computed properties:
Raw total energy: -102.277 eV per cell
Raw formation energy: -1.2407 eV/atom

Cell and atoms, written as CIF:
```
data_Ho4SiCS2
_symmetry_space_group_name_H-M 'I -4 m 2'
_symmetry_Int_Tables_number 119
_symmetry_space_group_name_Hall 'I -4 -2'
_cell_length_a 5.4864
_cell_length_b 5.4864
_cell_length_c 11.0975
_cell_angle_alpha 90.00
_cell_angle_beta 90.00
_cell_angle_gamma 90.00
loop_
_atom_site_label
_atom_site_type_symbol
_atom_site_fract_x
_atom_site_fract_y
_atom_site_fract_z
Ho1 Ho 0.0000 0.0000 0.2237
Ho2 Ho 0.0000 0.5000 0.9999
Si1 Si 0.0000 0.5000 0.2500
C1 C 0.0000 0.0000 0.0000
S1 S 0.0000 0.0000 0.5000
S2 S 0.0000 0.5000 0.7500
```



Entry 2:
A plane-wave DFT calculation with PBE was carried out for a geometry-optimized TbHoCS structure.

Computed properties:
Raw total energy: -26.844 eV per cell
Raw formation energy: -1.0712 eV/atom

Cell and atoms, written as CIF:
```
data_TbHoCS
_symmetry_space_group_name_H-M 'P 4/m m m'
_symmetry_Int_Tables_number 123
_symmetry_space_group_name_Hall '-P 4 2'
_cell_length_a 3.7767
_cell_length_b 3.7767
_cell_length_c 5.3036
_cell_angle_alpha 90.00
_cell_angle_beta 90.00
_cell_angle_gamma 90.00
loop_
_atom_site_label
_atom_site_type_symbol
_atom_site_fract_x
_atom_site_fract_y
_atom_site_fract_z
Tb1 Tb 0.0000 0.0000 0.0000
Ho1 Ho 0.5000 0.5000 0.5000
C1 C 0.0000 0.0000 0.5000
S1 S 0.5000 0.5000 0.0000
```



Entry 3:
A plane-wave DFT calculation with PBE was carried out for a geometry-optimized Ho6TeC2S3 structure.

Computed properties:
Raw total energy: -155.660 eV per cell
Raw formation energy: -1.3660 eV/atom

Cell and atoms, written as CIF:
```
data_Ho6TeC2S3
_symmetry_space_group_name_H-M 'C 1 2/m 1'
_symmetry_Int_Tables_number 12
_cell_length_a 16.9307
_cell_length_b 3.8141
_cell_length_c 7.9402
_cell_angle_alpha 90.00
_cell_angle_beta 102.05
_cell_angle_gamma 90.00
loop_
_symmetry_equiv_pos_as_xyz
'x,y,z'
'-x,-y,-z'
'-x,y,-z'
'x,-y,z'
'x+1/2,y+1/2,z'
'-x+1/2,-y+1/2,-z'
'-x+1/2,y+1/2,-z'
'x+1/2,-y+1/2,z'
loop_
_atom_site_label
_atom_site_type_symbol
_atom_site_fract_x
_atom_site_fract_y
_atom_site_fract_z
Ho1 Ho 0.0247 0.0000 0.2869
Ho2 Ho 0.1768 0.5000 0.5668
Ho3 Ho 0.1790 0.5000 0.1342
Te1 Te 0.0000 0.5000 0.0000
C1 C 0.1716 0.0000 0.3414
S1 S 0.0000 0.5000 0.5000
S2 S 0.1610 0.0000 0.8357
```



Entry 4:
A plane-wave DFT calculation with PBE was carried out for a geometry-optimized Ho3TeCS structure.

Computed properties:
Raw total energy: -72.552 eV per cell
Raw formation energy: -1.0083 eV/atom

Cell and atoms, written as CIF:
```
data_Ho3TeCS
_symmetry_space_group_name_H-M 'P 1 21/m 1'
_symmetry_Int_Tables_number 11
_cell_length_a 7.9215
_cell_length_b 3.7576
_cell_length_c 10.3356
_cell_angle_alpha 90.00
_cell_angle_beta 104.86
_cell_angle_gamma 90.00
loop_
_symmetry_equiv_pos_as_xyz
'x,y,z'
'-x,-y,-z'
'-x,y+1/2,-z'
'x,-y+1/2,z'
loop_
_atom_site_label
_atom_site_type_symbol
_atom_site_fract_x
_atom_site_fract_y
_atom_site_fract_z
Ho1 Ho 0.0084 0.2500 0.3628
Ho2 Ho 0.3119 0.2500 0.0455
Ho3 Ho 0.3663 0.7500 0.6045
Te1 Te 0.2979 0.7500 0.2824
C1 C 0.1713 0.2500 0.5827
S1 S 0.3367 0.7500 0.8706
```



Entry 5:
A plane-wave DFT calculation with PBE was carried out for a geometry-optimized Ho4TeCS2 structure.

Computed properties:
Raw total energy: -49.959 eV per cell
Raw formation energy: -1.3784 eV/atom

Cell and atoms, written as CIF:
```
data_Ho4TeCS2
_symmetry_space_group_name_H-M 'P 1 2/m 1'
_symmetry_Int_Tables_number 10
_cell_length_a 6.7242
_cell_length_b 3.8803
_cell_length_c 7.1398
_cell_angle_alpha 90.00
_cell_angle_beta 109.59
_cell_angle_gamma 90.00
loop_
_symmetry_equiv_pos_as_xyz
'x,y,z'
'-x,-y,-z'
'-x,y,-z'
'x,-y,z'
loop_
_atom_site_label
_atom_site_type_symbol
_atom_site_fract_x
_atom_site_fract_y
_atom_site_fract_z
Ho1 Ho 0.2282 0.0000 0.2108
Ho2 Ho 0.2424 0.5000 0.8016
Te1 Te 0.0000 0.0000 0.5000
C1 C 0.0000 0.5000 0.0000
S1 S 0.5000 0.0000 0.0000
S2 S 0.5000 0.5000 0.5000
```



Entry 6:
A plane-wave DFT calculation with PBE was carried out for a geometry-optimized Ho8Te4C3S structure.

Computed properties:
Raw total energy: -295.087 eV per cell
Raw formation energy: -1.0859 eV/atom

Cell and atoms, written as CIF:
```
data_Ho8Te4C3S
_symmetry_space_group_name_H-M 'R -3 m'
_symmetry_Int_Tables_number 166
_symmetry_space_group_name_Hall '-R 3 2"'
_cell_length_a 7.7735
_cell_length_b 7.7735
_cell_length_c 20.8154
_cell_angle_alpha 90.00
_cell_angle_beta 90.00
_cell_angle_gamma 120.00
loop_
_atom_site_label
_atom_site_type_symbol
_atom_site_fract_x
_atom_site_fract_y
_atom_site_fract_z
Ho1 Ho 0.0000 0.0000 0.2304
Ho2 Ho 0.0219 0.5109 0.7692
Te1 Te 0.0000 0.0000 0.0000
Te2 Te 0.0000 0.5000 0.0000
C1 C 0.0000 0.5000 0.5000
S1 S 0.0000 0.0000 0.5000
```



Number 1: DOS at the Fermi energy 0.259 states/eV per atom. Number 2: DOS at the Fermi energy 0.279 states/eV per atom. Number 3: DOS at the Fermi energy 0.331 states/eV per atom. Number 4: DOS at the Fermi energy 0.435 states/eV per atom. Number 5: DOS at the Fermi energy 0.316 states/eV per atom. Number 6: DOS at the Fermi energy 0.328 states/eV per atom.